1.
Density functional theory data (GGA-PBE) for an optimized crystal structure of NpZnGe2.

For the energy relative to the elements, the calculation gives 0.0215 eV per atom. For the total moment, the calculation gives 4.18 μB per formula unit.

The structure belongs to space group R-3m (No. 166, hexagonal axes); the cell edges are 4.3657, 4.3657 and 14.3123 Å and the angles 90.00°, 90.00° and 120.00°. The inequivalent atoms are Np at (0.0000, 0.0000, 0.0000), Zn at (0.0000, 0.0000, 0.5000) and Ge at (0.0000, 0.0000, 0.2271).

2.
Density functional theory data (GGA-PBE) for an optimized crystal structure of CoWC2.

For the energy relative to the elements, the calculation gives 0.5855 eV per atom. For the total moment, the calculation gives 0.00 μB per formula unit.

The structure belongs to space group I-42d (No. 122); the cell edges are 4.509, 4.509 and 9.026 Å and the angles 90.00°, 90.00° and 90.00°. The inequivalent atoms are Co at (0.000, 0.000, 0.000), W at (0.000, 0.000, 0.500) and C at (0.228, 0.250, 0.125).

3.
Density functional theory data (GGA-PBE) for an optimized crystal structure of TaInGe3.

For the energy relative to the elements, the calculation gives 1.6257 eV per atom. For the total moment, the calculation gives 0.00 μB per formula unit.

The structure belongs to space group Pm-3m (No. 221); the cell edges are 5.041, 5.041 and 5.041 Å and the angles 90.00°, 90.00° and 90.00°. The inequivalent atoms are Ta at (0.000, 0.000, 0.000), In at (0.500, 0.500, 0.500) and Ge at (0.000, 0.500, 0.500).

4.
Density functional theory data (GGA-PBE) for an optimized crystal structure of CaNp2RhN4.

For the total moment, the calculation gives 3.89 μB per formula unit. Its uncorrected formation energy is -0.831 eV per atom.

The structure belongs to space group Cmcm (No. 63); the cell edges are 3.441, 11.322 and 11.813 Å and the angles 90.00°, 90.00° and 90.00°. The inequivalent atoms are Ca at (0.000, 0.098, 0.250), Np at (0.000, 0.371, 0.057), Rh at (0.000, 0.166, 0.750), N at (0.000, 0.000, 0.000), N at (0.000, 0.261, 0.594) and N at (0.000, 0.442, 0.250).

5.
Density functional theory data (GGA-PBE) for an optimized crystal structure of MgBeSb2.

For the total moment, the calculation gives 0.00 μB per formula unit. Its uncorrected formation energy is 0.162 eV per atom.

The structure belongs to space group Pm (No. 6); the cell edges are 4.118, 3.983 and 5.982 Å and the angles 90.00°, 109.32° and 90.00°. The inequivalent atoms are Mg at (0.000, 0.000, 0.000), Be at (0.589, 0.500, 0.172), Sb at (0.381, 0.500, 0.751) and Sb at (0.693, 0.000, 0.414).

6.
Density functional theory data (GGA-PBE) for an optimized crystal structure of AlHOs2.

For the total moment, the calculation gives 0.00 μB per formula unit. The value obtained for the calculated total energy is -106.7 eV per cell.

The structure belongs to space group Fm-3m (No. 225); the cell edges are 5.786, 5.786 and 5.786 Å and the angles 90.00°, 90.00° and 90.00°. The inequivalent atoms are Al at (0.000, 0.000, 0.000), H at (0.000, 0.000, 0.500) and Os at (0.250, 0.250, 0.250).

7.
Density functional theory data (GGA-PBE) for an optimized crystal structure of LaGa2Ge2.

For the energy relative to the elements, the calculation gives -0.2489 eV per atom. For the total moment, the calculation gives 0.00 μB per formula unit.

The structure belongs to space group R-3m (No. 166, hexagonal axes); the cell edges are 4.2047, 4.2047 and 24.2804 Å and the angles 90.00°, 90.00° and 120.00°. The inequivalent atoms are La at (0.0000, 0.0000, 0.0000), Ga at (0.0000, 0.0000, 0.2251) and Ge at (0.0000, 0.0000, 0.4157).

8.
Density functional theory data (GGA-PBE) for an optimized crystal structure of Ba2USe4.

For the total moment, the calculation gives 2.00 μB per formula unit. Its uncorrected formation energy is -1.626 eV per atom.

The structure belongs to space group I4/mmm (No. 139); the cell edges are 5.466, 5.466 and 16.467 Å and the angles 90.00°, 90.00° and 90.00°. The inequivalent atoms are Ba at (0.000, 0.000, 0.137), U at (0.000, 0.000, 0.500), Se at (0.000, 0.000, 0.331) and Se at (0.000, 0.500, 0.000).

9.
Density functional theory data (GGA-PBE) for an optimized crystal structure of LiZnBi2.

For the energy relative to the elements, the calculation gives -0.0644 eV per atom. For the total moment, the calculation gives 0.00 μB per formula unit.

The structure belongs to space group R3m (No. 160, hexagonal axes); the cell edges are 4.5418, 4.5418 and 17.7282 Å and the angles 90.00°, 90.00° and 120.00°. The inequivalent atoms are Li at (0.0000, 0.0000, 0.0000), Zn at (0.0000, 0.0000, 0.1664), Bi at (0.0000, 0.0000, 0.5788) and Bi at (0.0000, 0.0000, 0.7524).

10.
Density functional theory data (GGA-PBE) for an optimized crystal structure of NbAgBi3.

For the energy relative to the elements, the calculation gives 1.0708 eV per atom. For the total moment, the calculation gives 3.07 μB per formula unit.

The structure belongs to space group Pm-3m (No. 221); the cell edges are 5.436, 5.436 and 5.436 Å and the angles 90.00°, 90.00° and 90.00°. The inequivalent atoms are Nb at (0.000, 0.000, 0.000), Ag at (0.500, 0.500, 0.500) and Bi at (0.000, 0.500, 0.500).

11.
Density functional theory data (GGA-PBE) for an optimized crystal structure of Zr3ZnH.

For the total moment, the calculation gives 0.00 μB per formula unit. The value obtained for the calculated total energy is -31.6 eV per cell.

The structure belongs to space group Pm-3m (No. 221); the cell edges are 4.396, 4.396 and 4.396 Å and the angles 90.00°, 90.00° and 90.00°. The inequivalent atoms are Zr at (0.000, 0.000, 0.500), Zn at (0.500, 0.500, 0.500) and H at (0.000, 0.000, 0.000).

12.
Density functional theory data (GGA-PBE) for an optimized crystal structure of Ca2Ga2H.

For the total moment, the calculation gives 0.00 μB per formula unit. The value obtained for the calculated total energy is -28.5 eV per cell.

The structure belongs to space group P4/mbm (No. 127); the cell edges are 6.872, 6.872 and 4.962 Å and the angles 90.00°, 90.00° and 90.00°. The inequivalent atoms are Ca at (0.182, 0.318, 0.000), Ga at (0.129, 0.629, 0.500) and H at (0.000, 0.000, 0.000).